The following is a PBE calculation of an optimized crystal structure of Tl2ZnBiF6, from Alexandria.

## Properties
- DOS(E_F): 2.68 states/eV/cell
- Calculated density: 7.4 g/cm³
- E_tot: -80.86 eV for the cell shown
- Energy relative to the elements, uncorrected: -1.932 eV/atom
- Total moment: 1.85 Bohr magnetons per cell

Geometry as POSCAR:
```
Tl2ZnBiF6
1.0
5.8975 0.0000 0.0000
0.0000 6.9135 0.0000
0.0000 0.0000 8.8290
F Bi Tl Zn
12 2 4 2
Cartesian
0.0000 5.2175 2.0991 F
2.9488 1.6960 2.3154 F
4.3674 3.8003 0.0000 F
0.0000 5.2175 6.7299 F
4.4789 0.3031 4.4145 F
1.4186 3.1132 4.4145 F
2.9488 1.6960 6.5136 F
1.4186 0.3031 4.4145 F
4.3674 6.6104 0.0000 F
4.4789 3.1132 4.4145 F
1.5302 6.6104 0.0000 F
1.5301 3.8003 0.0000 F
0.0000 5.1675 4.4145 Bi
2.9488 1.7459 0.0000 Bi
2.9488 5.2079 2.0899 Tl
2.9488 5.2079 6.7391 Tl
0.0000 1.7055 6.5044 Tl
0.0000 1.7055 2.3246 Tl
2.9488 1.7135 4.4145 Zn
0.0000 5.2000 0.0000 Zn
```


The following is a PBE calculation of an optimized crystal structure of AgSb2Cl8, from Alexandria.

## Properties
- Offset from the most stable computed form: 0.000 eV/atom
- DOS(E_F): 0.60 states/eV/cell
- Calculated density: 2.7 g/cm³
- E_tot: -33.57 eV for the cell shown
- Energy relative to the elements, uncorrected: -0.700 eV/atom
- Total moment: 1.03 Bohr magnetons per cell

Geometry as POSCAR:
```
AgSb2Cl8
1.0
-0.1570 7.5201 -1.8011
4.5921 -1.2568 -6.2368
-8.1023 0.1123 0.1222
Cl Sb Ag
8 2 1
Cartesian
-2.5294 6.3289 -6.4366 Cl
0.1185 3.5418 -3.3300 Cl
0.9922 0.0939 -4.6095 Cl
-1.3214 1.6005 -6.7298 Cl
-2.3458 4.7751 -1.1858 Cl
-1.1377 0.0468 -1.4790 Cl
-4.6594 6.2817 -3.3061 Cl
-3.7856 2.8339 -4.5856 Cl
-2.5092 5.3768 -3.7023 Sb
-1.1579 0.9988 -4.2134 Sb
-0.0785 3.7601 -0.9005 Ag
```


The following is a PBE calculation of an optimized crystal structure of TiGaCo4, from Alexandria.

## Properties
- Offset from the most stable computed form: 0.000 eV/atom
- DOS(E_F): 7.71 states/eV/cell
- Calculated density: 8.0 g/cm³
- E_tot: -40.66 eV for the cell shown
- Formation energy from the elements: -5.0 kcal/mol of atoms
- Total moment: 2.94 Bohr magnetons per cell

Geometry as POSCAR:
```
TiGaCo4
1.0
-0.9763 3.5833 -2.8619
-3.9396 2.4712 0.5973
0.2139 4.4026 1.5986
Co Ti Ga
4 1 1
Cartesian
-0.9639 5.3003 -0.7163 Co
-2.4510 4.7422 1.0197 Co
-3.0483 4.3311 -1.2188 Co
-2.9409 6.5405 -0.4166 Co
-1.1755 2.6143 -0.1665 Ti
0.0000 0.0000 0.0000 Ga
```